A plane-wave DFT calculation with PBE with a Hubbard U was carried out for a relaxed MnGa2PO6 crystal.

a = 5.7045 Å, b = 6.8460 Å, c = 6.9804 Å
α = 95.86°, β = 76.09°, γ = 73.71°
Positions (direct):
Mn  0.8120  0.0745  0.8628
O  0.6204  0.5388  0.6236
O  0.6238  0.1097  0.6172
O  0.7174  0.0262  0.1872
O  0.3962  0.2777  0.9593
O  0.2826  0.9738  0.8128
O  0.9959  0.7599  0.7163
O  0.0041  0.2401  0.2837
O  0.9854  0.3184  0.8395
O  0.3796  0.4612  0.3764
Ga  0.3308  0.7170  0.5757
Ga  0.1762  0.4231  0.2153
Ga  0.6692  0.2830  0.4243
O  0.6038  0.7223  0.0407
Mn  0.1880  0.9255  0.1372
P  0.3169  0.1914  0.7680
O  0.0146  0.6816  0.1605
O  0.3762  0.8903  0.3828
Ga  0.8238  0.5769  0.7847
P  0.6831  0.8086  0.2320

Space-group type = No. 2
Crystal system = triclinic
Size of the total moment = 11.96 μB/cell
Total DFT energy (no corrections) = -6.57 eV/atom